Record 1
The following is a DFT calculation (GGA-PBE) of an optimized crystal structure of ZrZnRu.

DOS(E_F) ... 0.988 states/eV/cell
DFT formation energy ... 0.384 eV/atom

```
ZrZnRu
1.0
0.000 3.125 3.125
3.125 0.000 3.125
3.125 3.125 0.000
Zr Zn Ru
1 1 1
Direct
0.000 0.000 0.000
0.750 0.750 0.750
0.250 0.250 0.250
```

***

Record 2
The following is a DFT calculation (GGA-PBE) of an optimized crystal structure of Zr2TaRu.

DOS(E_F) ... 3.243 states/eV/cell
Energy above the most stable polymorph in this dataset ... 0.127 eV/atom
DFT formation energy ... -0.120 eV/atom

```
Zr2TaRu
1.0
3.107 0.000 0.000
0.000 4.524 0.000
-1.382 0.000 5.426
Zr Ta Ru
2 1 1
Direct
0.000 0.000 0.000
0.285 0.500 0.725
0.581 0.000 0.468
0.780 0.500 0.245
```

***

Record 3
The following is a DFT calculation (GGA-PBE) of an optimized crystal structure of CdGaPIr2.

DOS(E_F) ... 4.834 states/eV/cell
DFT formation energy ... 1.013 eV/atom

```
CdGaPIr2
1.0
4.655 0.000 0.000
0.000 4.655 0.000
0.000 0.000 4.514
Cd Ga P Ir
1 1 1 2
Direct
0.000 0.000 0.000
0.500 0.500 0.500
0.500 0.500 0.000
0.000 0.500 0.500
0.500 0.000 0.500
```

***

Record 4
The following is a DFT calculation (GGA-PBE) of an optimized crystal structure of MgTcSnP.

DOS(E_F) ... 2.866 states/eV/cell
Energy above the most stable polymorph in this dataset ... 0.121 eV/atom
DFT formation energy ... -0.141 eV/atom

```
MgTcSnP
1.0
4.292 0.000 0.000
0.000 1.752 4.850
0.000 -1.752 4.850
Mg Tc Sn P
1 1 1 1
Direct
0.000 0.000 0.000
0.500 0.610 0.610
0.500 0.328 0.328
0.000 0.716 0.716
```

***

Record 5
The following is a DFT calculation (GGA-PBE) of an optimized crystal structure of Pr6MgPt.

DOS(E_F) ... 10.039 states/eV/cell
DFT formation energy ... -0.028 eV/atom

```
Pr6MgPt
1.0
6.992 0.000 0.000
3.486 6.062 0.000
3.491 2.025 6.932
Pr Mg Pt
6 1 1
Direct
0.032 0.429 0.234
0.195 0.967 0.766
0.427 0.806 0.234
0.573 0.194 0.766
0.805 0.033 0.234
0.968 0.571 0.766
0.500 0.500 0.000
0.000 0.000 0.500
```

***

Record 6
The following is a DFT calculation (GGA-PBE) of an optimized crystal structure of Np4Se4S.

DOS(E_F) ... 36.329 states/eV/cell
Raw formation energy ... -0.8515 eV/atom

```
Np4Se4S
1.0
-3.469 3.469 5.741
3.469 -3.469 5.741
3.469 3.469 -5.741
Np Se S
4 4 1
Direct
0.085 0.650 0.000
0.350 0.350 0.435
0.650 0.085 0.000
0.915 0.915 0.565
0.000 0.500 0.500
0.304 0.304 0.000
0.500 0.000 0.500
0.696 0.696 0.000
0.000 0.000 0.000
```

***

Record 7
The following is a DFT calculation (GGA-PBE) of an optimized crystal structure of YPt2Au.

DOS(E_F) ... 1.006 states/eV/cell
DFT formation energy ... -0.850 eV/atom

```
YPt2Au
1.0
-2.060 2.060 4.355
2.060 -2.060 4.355
2.060 2.060 -4.355
Y Pt Au
1 2 1
Direct
0.000 0.000 0.000
0.250 0.750 0.500
0.500 0.500 0.000
0.750 0.250 0.500
```

***

Record 8
The following is a DFT calculation (GGA-PBE) of an optimized crystal structure of CaZrBeN3.

DOS(E_F) ... 6.831 states/eV/cell
Raw formation energy ... -1.0235 eV/atom

```
CaZrBeN3
1.0
6.902 0.000 0.000
0.000 3.225 0.000
-1.419 0.000 6.776
Ca Zr Be N
2 2 2 6
Direct
0.211 0.250 0.173
0.789 0.750 0.827
0.173 0.250 0.655
0.827 0.750 0.345
0.408 0.750 0.918
0.592 0.250 0.082
0.154 0.750 0.873
0.157 0.750 0.433
0.481 0.250 0.837
0.519 0.750 0.163
0.843 0.250 0.567
0.846 0.250 0.127
```

***

Q: Which value of DOS(E_F) does entry 5 give?
A: 10.039 states/eV/cell

***

Q: The highest DOS(E_F) belongs to which entry?
A: Np4Se4S

***

Q: What is the formula in the third record?
A: CdGaPIr2